No. 1
Compound: Sr2CdCoO5
Source: the Alexandria database
Functional: GGA+U
Structure: optimized geometry

Cell lengths 7.0410, 7.0410, 10.7387 Å; angles 90.00, 90.00, 151.34 degrees
Fractional coordinates of all 18 atoms:
Sr 0.0983 0.9017 0.5000
Sr 0.1593 0.8407 0.1364
Sr 0.8407 0.1593 0.6364
Sr 0.9017 0.0983 0.0000
Cd 0.2018 0.7982 0.8479
Cd 0.7982 0.2018 0.3479
Co 0.4818 0.5182 0.2561
Co 0.5182 0.4818 0.7561
O 0.0343 0.9657 0.8340
O 0.2758 0.7242 0.4859
O 0.3454 0.6546 0.2054
O 0.3833 0.6167 0.8154
O 0.4796 0.5204 0.5976
O 0.5204 0.4796 0.0976
O 0.6167 0.3833 0.3154
O 0.6546 0.3454 0.7054
O 0.7242 0.2758 0.9859
O 0.9657 0.0343 0.3340

Values from the calculation:
Raw total energy, eV per cell: -98.97

***

No. 2
Compound: Cd2CoTcO6
Source: the Alexandria database
Functional: GGA+U
Structure: optimized geometry

Cell lengths 5.2520, 5.2520, 4.9428 Å; angles 90.00, 90.00, 90.00 degrees
Fractional coordinates of all 10 atoms:
Cd 0.0000 0.5000 0.0000
Cd 0.5000 0.0000 0.0000
Co 0.0000 0.0000 0.5445
Tc 0.5000 0.5000 0.5775
O 0.0000 0.0000 0.1680
O 0.2595 0.2595 0.7088
O 0.2595 0.7405 0.7088
O 0.5000 0.5000 0.2220
O 0.7405 0.2595 0.7088
O 0.7405 0.7405 0.7088

Values from the calculation:
Raw total energy, eV per cell: -56.35

***

Please write out number 2 again, unchanged.
Compound: Cd2CoTcO6
Source: the Alexandria database
Functional: GGA+U
Structure: optimized geometry

Cell lengths 5.2520, 5.2520, 4.9428 Å; angles 90.00, 90.00, 90.00 degrees
Fractional coordinates of all 10 atoms:
Cd 0.0000 0.5000 0.0000
Cd 0.5000 0.0000 0.0000
Co 0.0000 0.0000 0.5445
Tc 0.5000 0.5000 0.5775
O 0.0000 0.0000 0.1680
O 0.2595 0.2595 0.7088
O 0.2595 0.7405 0.7088
O 0.5000 0.5000 0.2220
O 0.7405 0.2595 0.7088
O 0.7405 0.7405 0.7088

Values from the calculation:
Raw total energy, eV per cell: -56.35

***

Question: Among the records above, which one has the lowest raw total energy?
Answer: Sr2CdCoO5

***

Please write out number 2 again, unchanged.
Compound: Cd2CoTcO6
Source: the Alexandria database
Functional: GGA+U
Structure: optimized geometry

Cell lengths 5.2520, 5.2520, 4.9428 Å; angles 90.00, 90.00, 90.00 degrees
Fractional coordinates of all 10 atoms:
Cd 0.0000 0.5000 0.0000
Cd 0.5000 0.0000 0.0000
Co 0.0000 0.0000 0.5445
Tc 0.5000 0.5000 0.5775
O 0.0000 0.0000 0.1680
O 0.2595 0.2595 0.7088
O 0.2595 0.7405 0.7088
O 0.5000 0.5000 0.2220
O 0.7405 0.2595 0.7088
O 0.7405 0.7405 0.7088

Values from the calculation:
Raw total energy, eV per cell: -56.35

***

Question: Among the records above, which one has the highest raw total energy?
Answer: Cd2CoTcO6